(1)
Cd2CuTc2 after structural relaxation, computed with PBE.

The distance to the lowest polymorph of the same formula comes out at 91 kJ/mol of formula units. The value obtained for the formation energy is 0.7334 eV/atom.

Cell: 8.1515 8.1515 2.8457 Å, 90.00 90.00 90.00°
Space group P4/mbm (No. 127)
Asymmetric unit:
Cd 0.1930 0.3070 0.0000 x4
Cu 0.0000 0.0000 0.0000 x2
Tc 0.0983 0.5983 0.5000 x4

(2)
TbCe2PaAs5 after structural relaxation, computed with PBE.

The value obtained for the formation energy is -0.5993 eV/atom.

Cell: 5.0995 5.0995 10.8955 Å, 90.00 90.00 90.00°
Space group P4/mmm (No. 123)
Asymmetric unit:
Tb 0.0000 0.0000 0.0000 x1
Ce 0.5000 0.5000 0.2784 x2
Pa 0.0000 0.0000 0.5000 x1
As 0.0000 0.0000 0.2471 x2
As 0.0000 0.5000 0.5000 x2
As 0.5000 0.5000 0.0000 x1

(3)
CsMg2GaPt after structural relaxation, computed with PBE.

The value obtained for the formation energy is -0.3227 eV/atom.

Cell: 5.2809 5.2809 4.9386 Å, 90.00 90.00 90.00°
Space group P4/mmm (No. 123)
Asymmetric unit:
Cs 0.0000 0.0000 0.0000 x1
Mg 0.0000 0.5000 0.5000 x2
Ga 0.5000 0.5000 0.0000 x1
Pt 0.5000 0.5000 0.5000 x1

(4)
Ca5Mg4Cd after structural relaxation, computed with PBE.

The value obtained for the formation energy is -0.1374 eV/atom.

Cell: 3.9121 3.9121 19.9503 Å, 90.00 90.00 90.00°
Space group P4/mmm (No. 123)
Asymmetric unit:
Ca 0.0000 0.0000 0.0000 x1
Ca 0.0000 0.0000 0.2027 x2
Ca 0.0000 0.0000 0.4063 x2
Mg 0.5000 0.5000 0.1012 x2
Mg 0.5000 0.5000 0.3034 x2
Cd 0.5000 0.5000 0.5000 x1

(5)
AcLaPI after structural relaxation, computed with PBE.

For the uncorrected formation energy, the calculation gives -1385 meV/atom.

Cell: 4.3148 4.3148 24.5446 Å, 90.00 90.00 120.00°
Space group R3m (No. 160, hexagonal axes)
Asymmetric unit:
Ac 0.0000 0.0000 0.0000 x3
La 0.0000 0.0000 0.2025 x3
P 0.0000 0.0000 0.5963 x3
I 0.0000 0.0000 0.7717 x3

(6)
CsLiMg14O15 after structural relaxation, computed with PBE.

For the uncorrected formation energy, the calculation gives -2330 meV/atom.

Cell: 4.3804 8.7908 8.5467 Å, 90.00 90.00 90.00°
Space group Pmm2 (No. 25)
Asymmetric unit:
Cs 0.0000 0.0000 0.0000 x1
Li 0.0000 0.5000 0.8795 x1
Mg 0.0000 0.0000 0.4239 x1
Mg 0.0000 0.2508 0.6602 x2
Mg 0.0000 0.2854 0.1410 x2
Mg 0.0000 0.5000 0.4028 x1
Mg 0.5000 0.0000 0.1663 x1
Mg 0.5000 0.0000 0.6591 x1
Mg 0.5000 0.2519 0.3991 x2
Mg 0.5000 0.2653 0.8920 x2
Mg 0.5000 0.5000 0.1412 x1
Mg 0.5000 0.5000 0.6516 x1
O 0.0000 0.0000 0.6478 x1
O 0.0000 0.2352 0.3827 x2
O 0.0000 0.2743 0.8988 x2
O 0.0000 0.5000 0.1674 x1
O 0.0000 0.5000 0.6336 x1
O 0.5000 0.0000 0.3946 x1
O 0.5000 0.0000 0.8889 x1
O 0.5000 0.2414 0.1466 x2
O 0.5000 0.2514 0.6438 x2
O 0.5000 0.5000 0.3929 x1
O 0.5000 0.5000 0.9002 x1

Taking the records one at a time from the top gives spin magnetization values of 0.00, 0.17, 0.00, 0.00, 0.00, 0.00 μB per atom.
Taking the records one at a time from the top gives DOS(E_F) values of 0.804, 1.842, 0.303, 1.020, 0.384, 0.000 states/eV per atom.
Taking the records one at a time from the top gives E_tot values of -22.992, -54.636, -14.724, -18.675, -21.534, -171.699 eV/f.u..